No. 1
The following is a DFT calculation (GGA-PBE) of crystalline TbPr3Nd2S6 at its relaxed geometry.

Space group: C2/m, No. 12
Final energy in eV for the cell shown: -77.55
Formation energy (no corrections) in eV/atom: -2.02

CIF file:
```
data_TbPr3Nd2S6
_chemical_formula_sum 'Tb1 Pr3 Nd2 S6'
_symmetry_space_group_name_H-M 'P 1'
_symmetry_Int_Tables_number 1
_symmetry_space_group_name_Hall 'P 1'
_cell_length_a 7.040
_cell_length_b 7.040
_cell_length_c 7.046
_cell_angle_alpha 99.57
_cell_angle_beta 99.57
_cell_angle_gamma 120.14
loop_
_atom_site_label
_atom_site_type_symbol
_atom_site_fract_x
_atom_site_fract_y
_atom_site_fract_z
Tb1 Tb 0.000 0.000 0.000
Pr1 Pr 0.170 0.830 0.500
Pr2 Pr 0.500 0.500 0.500
Pr3 Pr 0.830 0.170 0.500
Nd1 Nd 0.333 0.667 0.000
Nd2 Nd 0.667 0.333 0.000
S1 S 0.080 0.406 0.241
S2 S 0.244 0.244 0.756
S3 S 0.406 0.080 0.241
S4 S 0.594 0.920 0.759
S5 S 0.756 0.756 0.244
S6 S 0.920 0.594 0.759
```


No. 2
The following is a DFT calculation (GGA-PBE) of crystalline TbPr2NdS4 at its relaxed geometry.

Space group: P2/m, No. 10
Final energy in eV for the cell shown: -51.60
Formation energy (no corrections) in eV/atom: -2.02

CIF file:
```
data_TbPr2NdS4
_chemical_formula_sum 'Tb1 Pr2 Nd1 S4'
_symmetry_space_group_name_H-M 'P 1'
_symmetry_Int_Tables_number 1
_symmetry_space_group_name_Hall 'P 1'
_cell_length_a 7.024
_cell_length_b 4.008
_cell_length_c 7.074
_cell_angle_alpha 90.00
_cell_angle_beta 108.93
_cell_angle_gamma 90.00
loop_
_atom_site_label
_atom_site_type_symbol
_atom_site_fract_x
_atom_site_fract_y
_atom_site_fract_z
Tb1 Tb 0.000 0.000 0.000
Pr1 Pr 0.000 0.500 0.500
Pr2 Pr 0.500 0.000 0.500
Nd1 Nd 0.500 0.500 0.000
S1 S 0.239 0.500 0.237
S2 S 0.246 0.000 0.758
S3 S 0.754 0.000 0.242
S4 S 0.761 0.500 0.763
```


No. 3
The following is a DFT calculation (GGA-PBE) of crystalline Tb2PrNdS4 at its relaxed geometry.

Space group: P2/m, No. 10
Final energy in eV for the cell shown: -51.47
Formation energy (no corrections) in eV/atom: -2.02

CIF file:
```
data_Tb2PrNdS4
_chemical_formula_sum 'Tb2 Pr1 Nd1 S4'
_symmetry_space_group_name_H-M 'P 1'
_symmetry_Int_Tables_number 1
_symmetry_space_group_name_Hall 'P 1'
_cell_length_a 6.901
_cell_length_b 3.954
_cell_length_c 7.051
_cell_angle_alpha 90.00
_cell_angle_beta 108.80
_cell_angle_gamma 90.00
loop_
_atom_site_label
_atom_site_type_symbol
_atom_site_fract_x
_atom_site_fract_y
_atom_site_fract_z
Tb1 Tb 0.000 0.000 0.000
Tb2 Tb 0.500 0.500 0.000
Pr1 Pr 0.000 0.500 0.500
Nd1 Nd 0.500 0.000 0.500
S1 S 0.246 0.500 0.235
S2 S 0.257 0.000 0.766
S3 S 0.743 0.000 0.234
S4 S 0.754 0.500 0.765
```


No. 4
The following is a DFT calculation (GGA-PBE) of crystalline PrNdTeS at its relaxed geometry.

Space group: R3m, No. 160
Final energy in eV for the cell shown: -23.17
Formation energy (no corrections) in eV/atom: -1.59

CIF file:
```
data_PrNdTeS
_chemical_formula_sum 'Pr1 Nd1 Te1 S1'
_symmetry_space_group_name_H-M 'P 1'
_symmetry_Int_Tables_number 1
_symmetry_space_group_name_Hall 'P 1'
_cell_length_a 8.173
_cell_length_b 8.173
_cell_length_c 8.173
_cell_angle_alpha 29.08
_cell_angle_beta 29.08
_cell_angle_gamma 29.08
loop_
_atom_site_label
_atom_site_type_symbol
_atom_site_fract_x
_atom_site_fract_y
_atom_site_fract_z
Pr1 Pr 0.000 0.000 0.000
Nd1 Nd 0.156 0.156 0.156
Te1 Te 0.577 0.577 0.577
S1 S 0.411 0.411 0.411
```


No. 5
The following is a DFT calculation (GGA-PBE) of crystalline Pr3Nd4ThS8 at its relaxed geometry.

Space group: R-3m, No. 166
Final energy in eV for the cell shown: -105.76
Formation energy (no corrections) in eV/atom: -1.99

CIF file:
```
data_Pr3Nd4ThS8
_chemical_formula_sum 'Pr3 Nd4 Th1 S8'
_symmetry_space_group_name_H-M 'P 1'
_symmetry_Int_Tables_number 1
_symmetry_space_group_name_Hall 'P 1'
_cell_length_a 8.160
_cell_length_b 8.160
_cell_length_c 8.160
_cell_angle_alpha 59.98
_cell_angle_beta 59.98
_cell_angle_gamma 59.98
loop_
_atom_site_label
_atom_site_type_symbol
_atom_site_fract_x
_atom_site_fract_y
_atom_site_fract_z
Pr1 Pr 0.000 0.500 0.500
Pr2 Pr 0.500 0.000 0.500
Pr3 Pr 0.500 0.500 0.000
Nd1 Nd 0.000 0.000 0.500
Nd2 Nd 0.000 0.500 0.000
Nd3 Nd 0.500 0.000 0.000
Nd4 Nd 0.500 0.500 0.500
Th1 Th 0.000 0.000 0.000
S1 S 0.246 0.752 0.752
S2 S 0.248 0.248 0.754
S3 S 0.248 0.754 0.248
S4 S 0.249 0.249 0.249
S5 S 0.751 0.751 0.751
S6 S 0.752 0.246 0.752
S7 S 0.752 0.752 0.246
S8 S 0.754 0.248 0.248
```


No. 6
The following is a DFT calculation (GGA-PBE) of crystalline Pr4Nd3ThS8 at its relaxed geometry.

Space group: R-3m, No. 166
Final energy in eV for the cell shown: -105.78
Formation energy (no corrections) in eV/atom: -2.00

CIF file:
```
data_Pr4Nd3ThS8
_chemical_formula_sum 'Pr4 Nd3 Th1 S8'
_symmetry_space_group_name_H-M 'P 1'
_symmetry_Int_Tables_number 1
_symmetry_space_group_name_Hall 'P 1'
_cell_length_a 8.168
_cell_length_b 8.168
_cell_length_c 8.168
_cell_angle_alpha 60.00
_cell_angle_beta 60.00
_cell_angle_gamma 60.00
loop_
_atom_site_label
_atom_site_type_symbol
_atom_site_fract_x
_atom_site_fract_y
_atom_site_fract_z
Pr1 Pr 0.000 0.000 0.000
Pr2 Pr 0.000 0.500 0.500
Pr3 Pr 0.500 0.000 0.500
Pr4 Pr 0.500 0.500 0.000
Nd1 Nd 0.000 0.000 0.500
Nd2 Nd 0.000 0.500 0.000
Nd3 Nd 0.500 0.000 0.000
Th1 Th 0.500 0.500 0.500
S1 S 0.249 0.249 0.249
S2 S 0.251 0.747 0.747
S3 S 0.253 0.253 0.749
S4 S 0.253 0.749 0.253
S5 S 0.747 0.251 0.747
S6 S 0.747 0.747 0.251
S7 S 0.749 0.253 0.253
S8 S 0.751 0.751 0.751
```


No. 7
The following is a DFT calculation (GGA-PBE) of crystalline PrNd4Th3S8 at its relaxed geometry.

Space group: R-3m, No. 166
Final energy in eV for the cell shown: -110.34
Formation energy (no corrections) in eV/atom: -1.95

CIF file:
```
data_PrNd4Th3S8
_chemical_formula_sum 'Pr1 Nd4 Th3 S8'
_symmetry_space_group_name_H-M 'P 1'
_symmetry_Int_Tables_number 1
_symmetry_space_group_name_Hall 'P 1'
_cell_length_a 8.149
_cell_length_b 8.149
_cell_length_c 8.149
_cell_angle_alpha 59.54
_cell_angle_beta 59.54
_cell_angle_gamma 59.54
loop_
_atom_site_label
_atom_site_type_symbol
_atom_site_fract_x
_atom_site_fract_y
_atom_site_fract_z
Pr1 Pr 0.000 0.000 0.000
Nd1 Nd 0.000 0.000 0.500
Nd2 Nd 0.000 0.500 0.000
Nd3 Nd 0.500 0.000 0.000
Nd4 Nd 0.500 0.500 0.500
Th1 Th 0.000 0.500 0.500
Th2 Th 0.500 0.000 0.500
Th3 Th 0.500 0.500 0.000
S1 S 0.250 0.250 0.250
S2 S 0.251 0.251 0.748
S3 S 0.251 0.748 0.251
S4 S 0.252 0.749 0.749
S5 S 0.748 0.251 0.251
S6 S 0.749 0.252 0.749
S7 S 0.749 0.749 0.252
S8 S 0.750 0.750 0.750
```


No. 8
The following is a DFT calculation (GGA-PBE) of crystalline PrNd3Th2S6 at its relaxed geometry.

Space group: C2/m, No. 12
Final energy in eV for the cell shown: -82.12
Formation energy (no corrections) in eV/atom: -1.95

CIF file:
```
data_PrNd3Th2S6
_chemical_formula_sum 'Pr1 Nd3 Th2 S6'
_symmetry_space_group_name_H-M 'P 1'
_symmetry_Int_Tables_number 1
_symmetry_space_group_name_Hall 'P 1'
_cell_length_a 7.017
_cell_length_b 7.017
_cell_length_c 7.066
_cell_angle_alpha 99.55
_cell_angle_beta 99.55
_cell_angle_gamma 119.84
loop_
_atom_site_label
_atom_site_type_symbol
_atom_site_fract_x
_atom_site_fract_y
_atom_site_fract_z
Pr1 Pr 0.000 0.000 0.000
Nd1 Nd 0.163 0.837 0.500
Nd2 Nd 0.500 0.500 0.500
Nd3 Nd 0.837 0.163 0.500
Th1 Th 0.333 0.667 0.000
Th2 Th 0.667 0.333 0.000
S1 S 0.084 0.421 0.251
S2 S 0.255 0.255 0.753
S3 S 0.421 0.084 0.251
S4 S 0.579 0.916 0.749
S5 S 0.745 0.745 0.247
S6 S 0.916 0.579 0.749
```


No. 9
The following is a DFT calculation (GGA-PBE) of crystalline PrNd2ThS4 at its relaxed geometry.

Space group: P2/m, No. 10
Final energy in eV for the cell shown: -54.02
Formation energy (no corrections) in eV/atom: -1.97

CIF file:
```
data_PrNd2ThS4
_chemical_formula_sum 'Pr1 Nd2 Th1 S4'
_symmetry_space_group_name_H-M 'P 1'
_symmetry_Int_Tables_number 1
_symmetry_space_group_name_Hall 'P 1'
_cell_length_a 7.056
_cell_length_b 4.054
_cell_length_c 7.060
_cell_angle_alpha 90.00
_cell_angle_beta 109.32
_cell_angle_gamma 90.00
loop_
_atom_site_label
_atom_site_type_symbol
_atom_site_fract_x
_atom_site_fract_y
_atom_site_fract_z
Pr1 Pr 0.000 0.000 0.000
Nd1 Nd 0.000 0.500 0.500
Nd2 Nd 0.500 0.000 0.500
Th1 Th 0.500 0.500 0.000
S1 S 0.252 0.000 0.750
S2 S 0.253 0.500 0.251
S3 S 0.747 0.500 0.749
S4 S 0.748 0.000 0.250
```


No. 10
The following is a DFT calculation (GGA-PBE) of crystalline Pr2Nd3ThS6 at its relaxed geometry.

Space group: C2/m, No. 12
Final energy in eV for the cell shown: -79.87
Formation energy (no corrections) in eV/atom: -1.99

CIF file:
```
data_Pr2Nd3ThS6
_chemical_formula_sum 'Pr2 Nd3 Th1 S6'
_symmetry_space_group_name_H-M 'P 1'
_symmetry_Int_Tables_number 1
_symmetry_space_group_name_Hall 'P 1'
_cell_length_a 9.106
_cell_length_b 9.106
_cell_length_c 8.161
_cell_angle_alpha 103.00
_cell_angle_beta 103.00
_cell_angle_gamma 25.86
loop_
_atom_site_label
_atom_site_type_symbol
_atom_site_fract_x
_atom_site_fract_y
_atom_site_fract_z
Pr1 Pr 0.166 0.166 0.332
Pr2 Pr 0.834 0.834 0.668
Nd1 Nd 0.167 0.167 0.835
Nd2 Nd 0.500 0.500 0.500
Nd3 Nd 0.833 0.833 0.165
Th1 Th 0.500 0.500 0.000
S1 S 0.001 0.001 0.752
S2 S 0.333 0.333 0.415
S3 S 0.334 0.334 0.919
S4 S 0.666 0.666 0.081
S5 S 0.667 0.667 0.585
S6 S 0.999 0.999 0.248
```


In μB per formula unit, the magnetic moment values for the records above are, in order, 0.00 0.00 0.00 0.00 0.00 0.00 0.00 0.00 0.00 0.00.